A plane-wave DFT calculation with GGA-PBE was carried out for a relaxed Cs3Li2I3Br2 crystal.

abc: 5.394 5.394 15.232
angles: 100.20 100.20 90.00
Sites, in units of the cell vectors:
Cs 0.000 0.000 0.000
Cs 0.357 0.357 0.715
Cs 0.643 0.643 0.285
Br 0.250 0.750 0.500
Br 0.750 0.250 0.500
I 0.130 0.130 0.260
I 0.870 0.870 0.740
I 0.500 0.500 0.000
Li 0.776 0.776 0.551
Li 0.224 0.224 0.449

## Properties
total DFT energy (no corrections): -2.960 eV per atom


A plane-wave DFT calculation with GGA-PBE was carried out for a relaxed TaTlIN2 crystal.

abc: 4.218 5.794 4.218
angles: 90.00 90.00 90.00
Sites, in units of the cell vectors:
I 0.000 0.500 0.000
Ta 0.000 0.000 0.000
Tl 0.500 0.500 0.500
N 0.500 0.000 0.000
N 0.000 0.000 0.500

## Properties
relative energy among the computed polymorphs: 0 meV per atom


A plane-wave DFT calculation with GGA-PBE was carried out for a relaxed BaNaSe crystal.

abc: 4.806 4.837 4.837
angles: 120.00 90.00 90.00
Sites, in units of the cell vectors:
Na 0.167 0.333 0.667
Ba 0.667 0.667 0.333
Se 0.166 0.000 0.000

## Properties
relative energy among the computed polymorphs: 108 meV per atom


A plane-wave DFT calculation with GGA-PBE was carried out for a relaxed KTlPS2 crystal.

abc: 5.347 5.347 5.231
angles: 90.00 90.00 90.00
Sites, in units of the cell vectors:
K 0.500 0.500 0.500
P 0.000 0.000 0.500
S 0.000 0.500 0.000
S 0.500 0.000 0.000
Tl 0.000 0.000 0.000

## Properties
relative energy among the computed polymorphs: 0 meV per atom